CaAgOs3 | PBE | relaxed

Calculated values
The total moment comes out at 3.2 Bohr magnetons per cell. The value obtained for the energy relative to the elements is 2.4353 eV/atom. The density of states at the Fermi level is 2.0443 states/eV per atom. The calculation puts the volume at 22.8 Å³/atom. As for the density: 10.467 g/cm³. The value obtained for the polymorph energy (0 for the lowest one) is 0 meV per atom.

a b c (Å): 4.849 4.849 4.849
angles (deg): 90.00 90.00 90.00
Fractional positions:
Ca1 0.000 0.000 0.000
Ag1 0.500 0.500 0.500
Os1 0.000 0.500 0.500
Os2 0.500 0.000 0.500
Os3 0.500 0.500 0.000

***

Ac6InIr2Br3 | PBE | relaxed

Calculated values
The total moment comes out at 0.0 Bohr magnetons per cell. The density of states at the Fermi level is 0.4893 states/eV per atom. The calculation puts the uncorrected formation energy at -1.049 eV per atom. The calculation puts the volume at 36.2 Å³/atom. As for the density: 8.042 g/cm³.

a b c (Å): 10.763 10.763 9.802
angles (deg): 107.59 107.59 23.69
Fractional positions:
Ac1 0.023 0.023 0.260
Ac2 0.318 0.318 0.443
Ac3 0.335 0.335 0.868
Ac4 0.665 0.665 0.132
Ac5 0.682 0.682 0.557
Ac6 0.977 0.977 0.740
In1 0.500 0.500 0.000
Ir1 0.170 0.170 0.343
Ir2 0.830 0.830 0.657
Br1 0.166 0.166 0.847
Br2 0.500 0.500 0.500
Br3 0.834 0.834 0.153

***

What is the density in the second record?
8.042 g/cm³

***

What is the formula in the first record?
CaAgOs3

***

Which of these has the lowest density?
Ac6InIr2Br3

***

What is the formula in the first record?
CaAgOs3